Material: Ce6HgBi
Method: DFT, GGA-PBE
State: relaxed

a = 8.4652 Å, b = 7.6873 Å, c = 5.9903 Å
α = 50.27°, β = 47.56°, γ = 62.23°
Last column: nearest neighbours and their distance in Å.
Fractional positions:
Ce 0.9873 0.5455 0.7537  2 Ce 2.71-2.81
Ce 0.7515 0.9516 0.7504  2 Ce 2.81-2.83
Ce 0.4890 0.2099 0.2476  2 Ce 2.71-2.83
Ce 0.2485 0.0484 0.2496  2 Ce 2.81-2.83
Ce 0.0127 0.4545 0.2463  2 Ce 2.71-2.81
Ce 0.5110 0.7901 0.7524  2 Ce 2.71-2.83
Hg 0.0000 0.0000 0.0000  12 Ce 3.26-3.53
Bi 0.5000 0.5000 0.5000  12 Ce 3.29-3.52

Properties
ΔH_f (0 K), eV per atom: -0.19
Space-group type: P-1
Electronic total energy, eV per atom: -5.161